(1)
A relaxed Ba2HgTePd crystal. Source: Alexandria, functional PBE-GGA.

Output
M_tot (μB per formula unit): 0.00
Raw formation energy (kJ/mol of formula units): -402

a = 6.046 Å, b = 6.046 Å, c = 5.214 Å
α = 90.00°, β = 90.00°, γ = 90.00°
Fractional coordinates of all 5 atoms:
Ba 0.000 0.500 0.000
Ba 0.500 0.000 0.000
Hg 0.000 0.000 0.500
Te 0.500 0.500 0.500
Pd 0.000 0.000 0.000

---

(2)
A relaxed BaHgTe2Pd crystal. Source: Alexandria, functional PBE-GGA.

Output
M_tot (μB per formula unit): 0.00
Raw formation energy (kJ/mol of formula units): -335

a = 5.526 Å, b = 5.526 Å, c = 5.235 Å
α = 90.00°, β = 90.00°, γ = 90.00°
Fractional coordinates of all 5 atoms:
Ba 0.000 0.000 0.000
Hg 0.500 0.500 0.000
Te 0.000 0.500 0.500
Te 0.500 0.000 0.500
Pd 0.500 0.500 0.500

---

(3)
A relaxed BaTiHg2Pd crystal. Source: Alexandria, functional PBE-GGA.

Output
Formation energy from the elements (eV/atom): 1.167
M_tot (μB per formula unit): 0.10

a = 6.126 Å, b = 6.126 Å, c = 5.411 Å
α = 90.00°, β = 90.00°, γ = 90.00°
Fractional coordinates of all 5 atoms:
Ba 0.000 0.000 0.000
Ti 0.500 0.500 0.500
Hg 0.000 0.500 0.000
Hg 0.500 0.000 0.000
Pd 0.000 0.000 0.500

---

(4)
A relaxed BaTlHg4Pd2 crystal. Source: Alexandria, functional PBE-GGA.

Output
Formation energy from the elements (eV/atom): -0.100
M_tot (μB per formula unit): 0.00

a = 5.470 Å, b = 5.470 Å, c = 7.571 Å
α = 90.00°, β = 90.00°, γ = 90.00°
Fractional coordinates of all 8 atoms:
Ba 0.000 0.000 0.000
Tl 0.000 0.000 0.500
Hg 0.000 0.500 0.283
Hg 0.000 0.500 0.717
Hg 0.500 0.000 0.283
Hg 0.500 0.000 0.717
Pd 0.500 0.500 0.310
Pd 0.500 0.500 0.690